Record 1
Compound: In2SiN
Source: Alexandria
Functional: PBE
Structure: relaxed

## Properties
polymorph energy (0 for the lowest one)	0.351	eV/atom
formation energy without anion corrections	0.2182	eV per atom
final energy	-4.588	eV per atom
DOS(E_F)	1.58	states/eV/cell
symmetry	Cm

Structure (POSCAR):
```
In2SiN
1.0
6.949 -1.526 0.000
6.949 1.526 0.000
-1.705 0.000 7.454
In Si N
4 2 2
direct
0.000 0.000 0.000
0.177 0.177 0.833
0.534 0.534 0.451
0.812 0.812 0.159
0.408 0.408 0.675
0.727 0.727 0.446
0.280 0.280 0.562
0.435 0.435 0.173
```

---

Record 2
Compound: Mn3PSe
Source: Alexandria
Functional: PBE
Structure: relaxed

## Properties
polymorph energy (0 for the lowest one)	0.000	eV/atom
formation energy without anion corrections	0.2972	eV per atom
final energy	-6.983	eV per atom
DOS(E_F)	5.61	states/eV/cell
symmetry	Pm-3m

Structure (POSCAR):
```
Mn3PSe
1.0
4.426 0.000 0.000
0.000 4.426 0.000
0.000 0.000 4.426
Mn P Se
3 1 1
direct
0.000 0.000 0.500
0.000 0.500 0.000
0.500 0.000 0.000
0.000 0.000 0.000
0.500 0.500 0.500
```

---

Record 3
Compound: Rb2LaReOs
Source: Alexandria
Functional: PBE
Structure: relaxed

## Properties
final energy	-4.372	eV per atom
DOS(E_F)	7.92	states/eV/cell
formation enthalpy at 0 K	1.736	eV per atom
symmetry	P4/mmm

Structure (POSCAR):
```
Rb2LaReOs
1.0
6.144 0.000 0.000
0.000 6.144 0.000
0.000 0.000 4.708
Rb La Re Os
2 1 1 1
direct
0.000 0.500 0.000
0.500 0.000 0.000
0.000 0.000 0.500
0.500 0.500 0.500
0.500 0.500 0.000
```

---

Record 4
Compound: SmPdAu2
Source: Alexandria
Functional: PBE
Structure: relaxed

## Properties
polymorph energy (0 for the lowest one)	0.000	eV/atom
final energy	-4.824	eV per atom
DOS(E_F)	2.80	states/eV/cell
formation enthalpy at 0 K	-0.707	eV per atom
symmetry	P2_1/m

Structure (POSCAR):
```
SmPdAu2
1.0
4.295 0.000 0.000
0.000 7.692 0.000
-2.142 0.000 5.044
Sm Pd Au
2 2 4
direct
0.072 0.250 0.144
0.928 0.750 0.856
0.221 0.750 0.445
0.779 0.250 0.555
0.369 0.055 0.737
0.369 0.445 0.737
0.631 0.555 0.263
0.631 0.945 0.263
```